1.
The following is a PBE calculation of an optimized crystal structure of LaW2Au, from the Alexandria database.

Calculated values
volume = 19.6 Å³ per atom
SG = R-3m, No. 166

Lattice parameters (Å, degrees): 2.9136 2.9136 31.9865 90.00 90.00 120.00
Fractional coordinates of all 12 atoms:
La1 0.0000 0.0000 0.0000
La2 0.3333 0.6667 0.6667
La3 0.6667 0.3333 0.3333
W1 0.0000 0.0000 0.2403
W2 0.0000 0.0000 0.7597
W3 0.3333 0.6667 0.4264
W4 0.3333 0.6667 0.9069
W5 0.6667 0.3333 0.0931
W6 0.6667 0.3333 0.5736
Au1 0.0000 0.0000 0.5000
Au2 0.3333 0.6667 0.1667
Au3 0.6667 0.3333 0.8333

2.
The following is a PBE calculation of an optimized crystal structure of La3WAu, from the Alexandria database.

Calculated values
volume = 33.7 Å³ per atom
SG = Pm-3m, No. 221

Lattice parameters (Å, degrees): 5.5235 5.5235 5.5235 90.00 90.00 90.00
Fractional coordinates of all 5 atoms:
La1 0.0000 0.0000 0.5000
La2 0.0000 0.5000 0.0000
La3 0.5000 0.0000 0.0000
W1 0.0000 0.0000 0.0000
Au1 0.5000 0.5000 0.5000

3.
The following is a PBE calculation of an optimized crystal structure of LaW2Au, from the Alexandria database.

Calculated values
volume = 22.4 Å³ per atom
SG = I-42d, No. 122

Lattice parameters (Å, degrees): 4.1725 4.1725 20.5578 90.00 90.00 90.00
Fractional coordinates of all 16 atoms:
La1 0.0000 0.0000 0.0000
La2 0.0000 0.5000 0.2500
La3 0.5000 0.0000 0.7500
La4 0.5000 0.5000 0.5000
W1 0.1781 0.2500 0.6250
W2 0.2500 0.6781 0.8750
W3 0.2500 0.8219 0.3750
W4 0.3219 0.2500 0.1250
W5 0.6781 0.7500 0.1250
W6 0.7500 0.1781 0.3750
W7 0.7500 0.3219 0.8750
W8 0.8219 0.7500 0.6250
Au1 0.0000 0.0000 0.5000
Au2 0.0000 0.5000 0.7500
Au3 0.5000 0.0000 0.2500
Au4 0.5000 0.5000 0.0000

4.
The following is a PBE calculation of an optimized crystal structure of LaW2Au, from the Alexandria database.

Calculated values
volume = 19.5 Å³ per atom
SG = R3m, No. 160

Lattice parameters (Å, degrees): 2.9332 2.9332 31.4426 90.00 90.00 120.00
Fractional coordinates of all 12 atoms:
La1 0.0000 0.0000 0.0000
La2 0.3333 0.6667 0.6667
La3 0.6667 0.3333 0.3333
W1 0.0000 0.0000 0.2415
W2 0.0000 0.0000 0.5002
W3 0.3333 0.6667 0.1668
W4 0.3333 0.6667 0.9082
W5 0.6667 0.3333 0.5749
W6 0.6667 0.3333 0.8335
Au1 0.0000 0.0000 0.7589
Au2 0.3333 0.6667 0.4255
Au3 0.6667 0.3333 0.0922

5.
The following is a PBE calculation of an optimized crystal structure of LaW2Au, from the Alexandria database.

Calculated values
volume = 20.6 Å³ per atom
SG = Pmmm, No. 47

Lattice parameters (Å, degrees): 2.8008 4.4020 6.6860 90.00 90.00 90.00
Fractional coordinates of all 4 atoms:
La1 0.0000 0.0000 0.0000
W1 0.5000 0.5000 0.3098
W2 0.5000 0.5000 0.6902
Au1 0.0000 0.0000 0.5000

6.
The following is a PBE calculation of an optimized crystal structure of LaW2Au, from the Alexandria database.

Calculated values
volume = 20.0 Å³ per atom
SG = I-4m2, No. 119

Lattice parameters (Å, degrees): 4.8385 4.8385 6.8237 90.00 90.00 90.00
Fractional coordinates of all 8 atoms:
La1 0.0000 0.0000 0.0000
La2 0.5000 0.5000 0.5000
W1 0.0000 0.0000 0.5000
W2 0.0000 0.5000 0.2500
W3 0.5000 0.0000 0.7500
W4 0.5000 0.5000 0.0000
Au1 0.0000 0.5000 0.7500
Au2 0.5000 0.0000 0.2500

no.,E_form (eV/f.u.),DOS at the Fermi energy (states/eV per cell),polymorph energy (0 for the lowest one) (eV per atom)
1,3.27,10.736,0.606
2,1.55,4.518,0.000
3,3.21,19.040,0.591
4,2.49,12.509,0.410
5,2.96,3.972,0.526
6,2.36,6.489,0.377